# 1
Compound: La2SiPd
Source: Alexandria via LeMat-Bulk
Functional: GGA-PBE
Structure: relaxed

Output
Crystal system: monoclinic

Cell: 5.9784 4.4201 8.3523 Å, 90.00 108.60 90.00°
Space group P2_1/m (No. 11)
Inequivalent atoms, fractional coordinates:
La  0.2040  0.2500  0.4199 (multiplicity 2)
La  0.2887  0.7500  0.0673 (multiplicity 2)
Si  0.3602  0.7500  0.7096 (multiplicity 2)
Pd  0.1677  0.2500  0.7829 (multiplicity 2)

# 2
Compound: La3Si2Pd3
Source: Alexandria via LeMat-Bulk
Functional: GGA-PBE
Structure: relaxed

Output
Crystal system: orthorhombic

Cell: 7.9329 15.3895 5.9212 Å, 90.00 90.00 90.00°
Space group Pnma (No. 62)
Inequivalent atoms, fractional coordinates:
La  0.0253  0.1077  0.1412 (multiplicity 8)
La  0.1528  0.2500  0.6364 (multiplicity 4)
Si  0.1322  0.5990  0.3542 (multiplicity 8)
Pd  0.1588  0.0352  0.6034 (multiplicity 8)
Pd  0.1933  0.7500  0.5972 (multiplicity 4)

| no. | ΔE_f (raw) (eV/atom) | energy (eV per atom) |
| --- | --- | --- |
| 1 | -0.746 | -5.864 |
| 2 | -0.891 | -6.042 |